Record 1
Li2CeHf2S6, optimized geometry, DFT PBE; ΔE_f (raw) = -36.67 kcal/mol of atoms
1.0
-0.7039 6.2100 1.9754
-5.2430 -3.7482 -1.1928
2.0425 -2.7203 5.6239
Li Ce Hf S
2 1 2 6
direct
0.8341 0.1659 0.0000
0.1659 0.8341 0.0000
0.0000 0.0000 0.5000
0.3348 0.6652 0.5000
0.6652 0.3348 0.5000
0.7266 0.7266 0.7462
0.0768 0.4383 0.7425
0.2734 0.2734 0.2538
0.4383 0.0768 0.7425
0.9232 0.5617 0.2575
0.5617 0.9232 0.2575

=====

Record 2
# CeIn2Hg

A geometry-optimized CeIn2Hg structure (PBE, Alexandria via LeMat-Bulk).

POSCAR file:
```
CeIn2Hg
1.0
4.8127 0.0000 0.0000
0.0000 4.8127 0.0000
0.0000 0.0000 9.1075
Ce In Hg
2 4 2
direct
0.0000 0.5000 0.2396
0.5000 0.0000 0.7604
0.0000 0.0000 0.5000
0.5000 0.5000 0.5000
0.0000 0.5000 0.7546
0.5000 0.0000 0.2454
0.0000 0.0000 0.0000
0.5000 0.5000 0.0000
```

=====

Record 3
# LiCo4Sn

A geometry-optimized LiCo4Sn structure (PBE, Alexandria via LeMat-Bulk).

POSCAR file:
```
LiCo4Sn
1.0
4.7984 0.0000 0.0000
2.3992 4.1556 0.0000
2.3992 1.3852 3.9179
Co Sn Li
4 1 1
direct
0.6252 0.6252 0.1244
0.6252 0.1244 0.6252
0.6252 0.6252 0.6252
0.1244 0.6252 0.6252
0.2500 0.2500 0.2500
0.0000 0.0000 0.0000
```

=====

Record 4
RbHg3I3, optimized geometry, DFT PBE; ΔE_f (raw) = -4.93 kcal/mol of atoms
1.0
-4.3628 6.3604 -5.0867
-2.2188 -6.4805 -6.2002
-7.8362 -1.7062 4.5876
I Hg Rb
6 6 2
direct
0.2500 0.0000 0.5000
0.0000 0.5000 0.2500
0.5000 0.7500 0.0000
0.7500 0.0000 0.5000
0.0000 0.5000 0.7500
0.5000 0.2500 0.0000
0.0000 0.2500 0.5000
0.0000 0.7500 0.5000
0.5000 0.0000 0.7500
0.7500 0.5000 0.0000
0.5000 0.0000 0.2500
0.2500 0.5000 0.0000
0.5000 0.5000 0.5000
0.0000 0.0000 0.0000

=====

Record 5
# MgCd12In16

A geometry-optimized MgCd12In16 structure (PBE, Alexandria via LeMat-Bulk).

POSCAR file:
```
MgCd12In16
1.0
-6.9977 5.7465 3.8462
-2.8434 -3.1193 -8.8864
1.5127 -7.7617 5.8981
Mg Cd In
1 12 16
direct
0.5884 0.5884 0.2736
0.8074 0.8074 0.1870
0.6245 0.6245 0.8101
0.3790 0.1936 0.0061
0.8053 0.6192 0.6122
0.1895 0.9995 0.3723
0.3818 0.0002 0.1919
0.1837 0.8113 0.8144
0.8113 0.1837 0.8144
0.0002 0.3818 0.1919
0.9995 0.1895 0.3723
0.6192 0.8053 0.6122
0.1936 0.3790 0.0061
0.3489 0.3489 0.3436
0.0013 0.0013 0.0065
0.0038 0.0038 0.6712
0.3104 0.3104 0.7166
0.6878 0.4133 0.0032
0.5942 0.2783 0.5932
0.9948 0.6928 0.4092
0.9958 0.6594 0.9954
0.7197 0.3112 0.3086
0.4054 0.9993 0.6894
0.9993 0.4054 0.6894
0.3112 0.7197 0.3086
0.6594 0.9958 0.9954
0.6928 0.9948 0.4092
0.2783 0.5942 0.5932
0.4133 0.6878 0.0032
```

=====

Record 6
SrAc2Be2O6, optimized geometry, DFT PBE; ΔE_f (raw) = -67.66 kcal/mol of atoms
1.0
-3.7682 1.9360 -3.6391
-1.7105 -2.5376 4.7066
2.2481 6.1107 0.9230
Sr Ac Be O
1 2 2 6
direct
0.5000 0.0000 0.5000
0.7110 0.4219 0.1856
0.2890 0.5781 0.8144
0.9635 0.9271 0.7712
0.0365 0.0729 0.2288
0.7861 0.5722 0.6208
0.1683 0.8697 0.1688
0.2986 0.1303 0.8312
0.8317 0.1303 0.8312
0.7014 0.8697 0.1688
0.2139 0.4278 0.3792

=====

Record 7
# Sc2TaH

A geometry-optimized Sc2TaH structure (PBE, Alexandria via LeMat-Bulk).

POSCAR file:
```
Sc2TaH
1.0
1.8215 0.0000 8.6204
-0.9107 1.5774 8.6204
-0.9107 -1.5774 8.6204
Sc H Ta
2 1 1
direct
0.9254 0.9254 0.9254
0.0746 0.0746 0.0746
0.0000 0.0000 0.0000
0.5000 0.5000 0.5000
```

=====

Record 8
CaBeSiMo2, optimized geometry, DFT PBE; ΔE_f (raw) = 16.87 kcal/mol of atoms
1.0
4.6581 0.0000 0.0000
0.0000 4.3010 0.0000
0.0000 0.0000 4.6581
Be Mo Si Ca
1 2 1 1
direct
0.0000 0.5000 0.0000
0.0000 0.0000 0.5000
0.5000 0.0000 0.0000
0.0000 0.0000 0.0000
0.5000 0.5000 0.5000

=====

Number 1: electronic total energy -6.5387 eV per atom, V 20.76 Å³ per atom. Number 2: electronic total energy -3.2215 eV per atom, V 26.37 Å³ per atom. Number 3: electronic total energy -5.6797 eV per atom, V 13.02 Å³ per atom. Number 4: electronic total energy -1.1456 eV per atom, V 56.34 Å³ per atom. Number 5: electronic total energy -1.9359 eV per atom, V 25.30 Å³ per atom. Number 6: electronic total energy -7.2159 eV per atom, V 14.37 Å³ per atom. Number 7: electronic total energy -6.6967 eV per atom, V 18.58 Å³ per atom. Number 8: electronic total energy -5.8310 eV per atom, V 18.66 Å³ per atom.